1.
Entry from the Alexandria database: crystalline ZnPd5Pt at its relaxed geometry (GGA-PBE).

For the density of states at the Fermi level, the calculation gives 12.9 states/eV per cell. As for the offset from the most stable computed form: 0.000 eV per atom. Its energy of formation is -0.072 eV/atom.

The structure belongs to space group P4/mmm (No. 123); the cell edges are 3.9529, 3.9529 and 7.1843 Å and the angles 90.00°, 90.00° and 90.00°. The asymmetric unit holds Zn at (0.0000, 0.0000, 0.0000), Pd at (0.0000, 0.0000, 0.5000), Pd at (0.0000, 0.5000, 0.2230) and Pt at (0.5000, 0.5000, 0.5000).

2.
Entry from the Alexandria database: crystalline Zn3PdPt12 at its relaxed geometry (GGA-PBE).

For the density of states at the Fermi level, the calculation gives 14.1 states/eV per cell. Its energy of formation is -0.271 eV/atom.

The structure belongs to space group P4/mmm (No. 123); the cell edges are 3.9302, 3.9302 and 15.8035 Å and the angles 90.00°, 90.00° and 90.00°. The asymmetric unit holds Zn at (0.0000, 0.0000, 0.0000), Zn at (0.0000, 0.0000, 0.2481), Pd at (0.0000, 0.0000, 0.5000), Pt at (0.0000, 0.5000, 0.1243), Pt at (0.0000, 0.5000, 0.3719), Pt at (0.5000, 0.5000, 0.0000), Pt at (0.5000, 0.5000, 0.2484) and Pt at (0.5000, 0.5000, 0.5000).

3.
Entry from the Alexandria database: crystalline ZrZnPdPt at its relaxed geometry (GGA-PBE).

For the density of states at the Fermi level, the calculation gives 8.8 states/eV per cell. As for the offset from the most stable computed form: 0.016 eV per atom. Its energy of formation is -0.761 eV/atom.

The structure belongs to space group F-43m (No. 216); the cell edges are 6.4544, 6.4544 and 6.4544 Å and the angles 90.00°, 90.00° and 90.00°. The asymmetric unit holds Zr at (0.0000, 0.0000, 0.0000), Zn at (0.0000, 0.0000, 0.5000), Pd at (0.2500, 0.2500, 0.2500) and Pt at (0.2500, 0.2500, 0.7500).

4.
Entry from the Alexandria database: crystalline ZrZnPdPt at its relaxed geometry (GGA-PBE).

For the density of states at the Fermi level, the calculation gives 2.2 states/eV per cell. As for the offset from the most stable computed form: 0.000 eV per atom. Its energy of formation is -0.777 eV/atom.

The structure belongs to space group I-4m2 (No. 119); the cell edges are 4.1339, 4.1339 and 7.7384 Å and the angles 90.00°, 90.00° and 90.00°. The asymmetric unit holds Zr at (0.0000, 0.0000, 0.0000), Zn at (0.0000, 0.0000, 0.5000), Pd at (0.0000, 0.5000, 0.7500) and Pt at (0.0000, 0.5000, 0.2500).

5.
Entry from the Alexandria database: crystalline Zr4Pd6Pt7 at its relaxed geometry (GGA-PBE).

For the density of states at the Fermi level, the calculation gives 16.3 states/eV per cell. Its energy of formation is -0.602 eV/atom.

The structure belongs to space group Im-3m (No. 229); the cell edges are 8.3823, 8.3823 and 8.3823 Å and the angles 90.00°, 90.00° and 90.00°. The asymmetric unit holds Zr at (0.2500, 0.2500, 0.2500), Pd at (0.0000, 0.0000, 0.2995), Pt at (0.0000, 0.0000, 0.0000) and Pt at (0.0000, 0.2500, 0.5000).

6.
Entry from the Alexandria database: crystalline ZrPd6Pt2 at its relaxed geometry (GGA-PBE).

For the density of states at the Fermi level, the calculation gives 18.8 states/eV per cell. As for the offset from the most stable computed form: 0.091 eV per atom. Its energy of formation is -0.332 eV/atom.

The structure belongs to space group C2/m (No. 12); the cell edges are 6.2117, 12.7720 and 3.9492 Å and the angles 90.00°, 108.32° and 90.00°. The asymmetric unit holds Zr at (0.0000, 0.0000, 0.0000), Pd at (0.1633, 0.3408, 0.8325), Pd at (0.1657, 0.5000, 0.3326) and Pt at (0.0000, 0.1556, 0.5000).

7.
Entry from the Alexandria database: crystalline ZrPd6Pt2 at its relaxed geometry (GGA-PBE).

For the density of states at the Fermi level, the calculation gives 22.7 states/eV per cell. As for the offset from the most stable computed form: 0.000 eV per atom. Its energy of formation is -0.423 eV/atom.

The structure belongs to space group C2/m (No. 12); the cell edges are 8.9210, 4.0267 and 8.4131 Å and the angles 90.00°, 107.96° and 90.00°. The asymmetric unit holds Zr at (0.0000, 0.0000, 0.0000), Pd at (0.0006, 0.0000, 0.6683), Pd at (0.1663, 0.5000, 0.5533), Pd at (0.1664, 0.5000, 0.8851) and Pt at (0.1660, 0.5000, 0.2216).

8.
Entry from the Alexandria database: crystalline Zr2Pd7Pt3 at its relaxed geometry (GGA-PBE).

For the density of states at the Fermi level, the calculation gives 7.3 states/eV per cell. Its energy of formation is -0.546 eV/atom.

The structure belongs to space group P-1 (No. 2); the cell edges are 4.9182, 5.6669 and 7.5674 Å and the angles 98.83°, 95.91° and 107.73°. The asymmetric unit holds Zr at (0.0058, 0.1952, 0.1805), Pd at (0.0000, 0.0000, 0.5000), Pd at (0.4962, 0.4134, 0.6666), Pd at (0.4969, 0.9132, 0.6668), Pd at (0.4993, 0.7493, 0.0024), Pt at (0.0000, 0.5000, 0.5000) and Pt at (0.0069, 0.6930, 0.1693).

9.
Entry from the Alexandria database: crystalline Zr2Pd5Pt at its relaxed geometry (GGA-PBE).

For the density of states at the Fermi level, the calculation gives 3.3 states/eV per cell. Its energy of formation is -0.837 eV/atom.

The structure belongs to space group Pbam (No. 55); the cell edges are 5.7107, 11.4283 and 4.0307 Å and the angles 90.00°, 90.00° and 90.00°. The asymmetric unit holds Zr at (0.2457, 0.1242, 0.0000), Pd at (0.0000, 0.5000, 0.5000), Pd at (0.0034, 0.7503, 0.5000), Pd at (0.2468, 0.3743, 0.0000) and Pt at (0.0000, 0.0000, 0.5000).

10.
Entry from the Alexandria database: crystalline Zr2Pd2Pt7 at its relaxed geometry (GGA-PBE).

For the density of states at the Fermi level, the calculation gives 23.4 states/eV per cell. Its energy of formation is -0.552 eV/atom.

The structure belongs to space group Immm (No. 71); the cell edges are 4.0112, 7.8350 and 12.1990 Å and the angles 90.00°, 90.00° and 90.00°. The asymmetric unit holds Zr at (0.0000, 0.0000, 0.1669), Pd at (0.0000, 0.2695, 0.0000), Pt at (0.0000, 0.2432, 0.3402), Pt at (0.0000, 0.5000, 0.1752) and Pt at (0.0000, 0.5000, 0.5000).

11.
Entry from the Alexandria database: crystalline Zr2PdPt3 at its relaxed geometry (GGA-PBE).

For the density of states at the Fermi level, the calculation gives 7.0 states/eV per cell. As for the offset from the most stable computed form: 0.000 eV per atom. Its energy of formation is -0.974 eV/atom.

The structure belongs to space group Pmma (No. 51); the cell edges are 5.5045, 4.4245 and 8.7838 Å and the angles 90.00°, 90.00° and 90.00°. The asymmetric unit holds Zr at (0.2500, 0.0000, 0.1933), Zr at (0.2500, 0.5000, 0.6957), Pd at (0.0000, 0.0000, 0.5000), Pt at (0.0000, 0.5000, 0.0000), Pt at (0.2500, 0.0000, 0.8771) and Pt at (0.2500, 0.5000, 0.3797).

12.
Entry from the Alexandria database: crystalline Zr2Pd3Pt8 at its relaxed geometry (GGA-PBE).

For the density of states at the Fermi level, the calculation gives 9.1 states/eV per cell. Its energy of formation is -0.500 eV/atom.

The structure belongs to space group P-1 (No. 2); the cell edges are 4.9010, 6.5986 and 7.1789 Å and the angles 87.55°, 88.94° and 72.32°. The asymmetric unit holds Zr at (0.1448, 0.0756, 0.2156), Pd at (0.0000, 0.5000, 0.0000), Pd at (0.2818, 0.6277, 0.2850), Pt at (0.1490, 0.5416, 0.6375), Pt at (0.2683, 0.1430, 0.8199), Pt at (0.4044, 0.7183, 0.9311) and Pt at (0.4171, 0.8368, 0.5599).

13.
Entry from the Alexandria database: crystalline Zr6Pd3Pt at its relaxed geometry (GGA-PBE).

For the density of states at the Fermi level, the calculation gives 20.5 states/eV per cell. Its energy of formation is -0.380 eV/atom.

The structure belongs to space group P2_1/c (No. 14); the cell edges are 7.6619, 6.3287 and 11.3039 Å and the angles 90.00°, 131.69° and 90.00°. The asymmetric unit holds Zr at (0.0464, 0.1739, 0.2496), Zr at (0.2271, 0.1261, 0.0597), Zr at (0.3900, 0.6221, 0.0613), Pd at (0.3026, 0.7018, 0.7517), Pd at (0.5000, 0.0000, 0.0000) and Pt at (0.0000, 0.0000, 0.5000).

14.
Entry from the Alexandria database: crystalline Zr2PdPt2 at its relaxed geometry (GGA-PBE).

For the density of states at the Fermi level, the calculation gives 7.9 states/eV per cell. As for the offset from the most stable computed form: 0.211 eV per atom. Its energy of formation is -0.712 eV/atom.

The structure belongs to space group P4/mbm (No. 127); the cell edges are 7.7080, 7.7080 and 3.2518 Å and the angles 90.00°, 90.00° and 90.00°. The asymmetric unit holds Zr at (0.1628, 0.3372, 0.0000), Pd at (0.0000, 0.0000, 0.0000) and Pt at (0.1336, 0.6336, 0.5000).

15.
Entry from the Alexandria database: crystalline ZrPd4Pt at its relaxed geometry (GGA-PBE).

For the density of states at the Fermi level, the calculation gives 25.4 states/eV per cell. As for the offset from the most stable computed form: 0.167 eV per atom. Its energy of formation is -0.402 eV/atom.

The structure belongs to space group Cmcm (No. 63); the cell edges are 4.0015, 25.6492 and 4.1321 Å and the angles 90.00°, 90.00° and 90.00°. The asymmetric unit holds Zr at (0.0000, 0.1711, 0.2500), Pd at (0.0000, 0.0960, 0.7500), Pd at (0.0000, 0.2500, 0.7500), Pd at (0.0000, 0.3281, 0.2500), Pd at (0.0000, 0.4724, 0.2500) and Pt at (0.0000, 0.4040, 0.7500).

16.
Entry from the Alexandria database: crystalline ZrPd5Pt6 at its relaxed geometry (GGA-PBE).

For the density of states at the Fermi level, the calculation gives 35.7 states/eV per cell. Its energy of formation is -0.366 eV/atom.

The structure belongs to space group Immm (No. 71); the cell edges are 3.9695, 8.0638 and 11.9018 Å and the angles 90.00°, 90.00° and 90.00°. The asymmetric unit holds Zr at (0.0000, 0.0000, 0.0000), Pd at (0.0000, 0.0000, 0.3350), Pd at (0.0000, 0.5000, 0.0000), Pd at (0.0000, 0.5000, 0.3335), Pt at (0.0000, 0.2495, 0.1669) and Pt at (0.0000, 0.2508, 0.5000).

17.
Entry from the Alexandria database: crystalline Zr6Pd5Pt at its relaxed geometry (GGA-PBE).

For the density of states at the Fermi level, the calculation gives 10.3 states/eV per cell. Its energy of formation is -0.666 eV/atom.

The structure belongs to space group P-1 (No. 2); the cell edges are 4.6777, 7.1280 and 7.9331 Å and the angles 116.60°, 105.05° and 90.17°. The asymmetric unit holds Zr at (0.0080, 0.2739, 0.0427), Zr at (0.3244, 0.0938, 0.6840), Zr at (0.3269, 0.5715, 0.6441), Pd at (0.1868, 0.1257, 0.3274), Pd at (0.1883, 0.7039, 0.3346), Pd at (0.5000, 0.0000, 0.0000) and Pt at (0.5000, 0.5000, 0.0000).

18.
Entry from the Alexandria database: crystalline Zr2Pd8Pt at its relaxed geometry (GGA-PBE).

For the density of states at the Fermi level, the calculation gives 10.7 states/eV per cell. As for the offset from the most stable computed form: 0.000 eV per atom. Its energy of formation is -0.445 eV/atom.

The structure belongs to space group C2/m (No. 12); the cell edges are 9.8874, 5.5865 and 6.9379 Å and the angles 90.00°, 95.72° and 90.00°. The asymmetric unit holds Zr at (0.1561, 0.0000, 0.3488), Pd at (0.0966, 0.2459, 0.6862), Pd at (0.1458, 0.5000, 0.3507), Pd at (0.2279, 0.5000, 0.9976) and Pt at (0.0000, 0.0000, 0.0000).

19.
Entry from the Alexandria database: crystalline Zr2PdPt3 at its relaxed geometry (GGA-PBE).

For the density of states at the Fermi level, the calculation gives 14.3 states/eV per cell. As for the offset from the most stable computed form: 0.059 eV per atom. Its energy of formation is -0.915 eV/atom.

The structure belongs to space group C2/c (No. 15); the cell edges are 8.5026, 5.5681 and 9.8711 Å and the angles 90.00°, 115.51° and 90.00°. The asymmetric unit holds Zr at (0.1831, 0.1251, 0.1162), Pd at (0.0000, 0.1247, 0.7500), Pt at (0.0000, 0.3755, 0.2500) and Pt at (0.1586, 0.3747, 0.5674).

20.
Entry from the Alexandria database: crystalline ZrPd5Pt2 at its relaxed geometry (GGA-PBE).

For the density of states at the Fermi level, the calculation gives 12.2 states/eV per cell. As for the offset from the most stable computed form: 0.153 eV per atom. Its energy of formation is -0.334 eV/atom.

The structure belongs to space group P-1 (No. 2); the cell edges are 4.7806, 4.7913 and 13.8798 Å and the angles 83.25°, 86.17° and 60.33°. The asymmetric unit holds Zr at (0.0037, 0.4129, 0.2506), Pd at (0.0030, 0.2953, 0.5859), Pd at (0.0104, 0.1883, 0.9122), Pd at (0.3342, 0.7503, 0.2490), Pd at (0.3368, 0.5284, 0.9138), Pd at (0.3389, 0.0287, 0.4128), Pt at (0.3311, 0.1416, 0.0883) and Pt at (0.3379, 0.6361, 0.5903).

21.
Entry from the Alexandria database: crystalline ZrPd4Pt at its relaxed geometry (GGA-PBE).

For the density of states at the Fermi level, the calculation gives 6.6 states/eV per cell. As for the offset from the most stable computed form: 0.000 eV per atom. Its energy of formation is -0.569 eV/atom.

The structure belongs to space group C2/m (No. 12); the cell edges are 4.9199, 8.5751 and 4.8801 Å and the angles 90.00°, 109.33° and 90.00°. The asymmetric unit holds Zr at (0.0000, 0.0000, 0.0000), Pd at (0.0000, 0.1687, 0.5000), Pd at (0.0000, 0.3353, 0.0000) and Pt at (0.0000, 0.5000, 0.5000).